# SmCrGe3

SmCrGe3 after structural relaxation (PBE-GGA, Alexandria via LeMat-Bulk).

Geometry as CIF:
```
data_SmCrGe3
_chemical_formula_sum 'Sm2 Cr2 Ge6'
_cell_length_a 6.1264
_cell_length_b 6.1264
_cell_length_c 5.7022
_cell_angle_alpha 90.00
_cell_angle_beta 90.00
_cell_angle_gamma 120.00
_space_group_name_H-M_alt 'P 63/m m c'
_space_group_IT_number 194
_space_group_name_Hall '-P 6c 2c'
loop_
_atom_site_label
_atom_site_type_symbol
_atom_site_fract_x
_atom_site_fract_y
_atom_site_fract_z
Sm1 Sm 0.3333 0.6667 0.2500
Cr1 Cr 0.0000 0.0000 0.0000
Ge1 Ge 0.1924 0.3848 0.7500
```

The density is 7.53 g cm⁻³. Its calculated volume is 92.7 Å³/f.u. The value obtained for the formation energy is -0.39 eV per atom.

***

# Ac2Ga3Pt2

Ac2Ga3Pt2 after structural relaxation (PBE-GGA, Alexandria via LeMat-Bulk).

Geometry as CIF:
```
data_Ac2Ga3Pt2
_chemical_formula_sum 'Ac4 Ga6 Pt4'
_cell_length_a 11.242
_cell_length_b 4.331
_cell_length_c 7.432
_cell_angle_alpha 90.00
_cell_angle_beta 117.96
_cell_angle_gamma 90.00
_space_group_name_H-M_alt 'C 1 2/m 1'
_space_group_IT_number 12
_space_group_name_Hall '-C 2y'
loop_
_atom_site_label
_atom_site_type_symbol
_atom_site_fract_x
_atom_site_fract_y
_atom_site_fract_z
Ac1 Ac 0.139 0.000 0.270
Ga1 Ga 0.000 0.500 0.500
Ga2 Ga 0.139 0.500 0.930
Pt1 Pt 0.141 0.000 0.717
```

The density is 10.94 g cm⁻³. Its calculated volume is 159.8 Å³/f.u. The value obtained for the formation energy is -0.83 eV per atom.